Entry 1:
4
Lattice="-1.740 1.740 3.745 1.740 -1.740 3.745 1.740 1.740 -3.745" Properties=species:S:1:pos:R:3 comment="Co2CuRe, optimized geometry, DFT PBEsol" dos_at_fermi_per_ev_atom=0.65 formation_energy_ev_per_atom=0.169 de_polymorph_ev_per_atom=0.068 rho_g_cm3=13.5 spacegroup="I-4m2 (119)" total_energy_ev_per_fu=-32.46 pbc="T T T"
Co 0.000 0.000 0.000
Co 0.000 1.740 1.873
Cu 1.740 0.000 1.873
Re 0.000 0.000 3.745

=====

Entry 2:
4
Lattice="2.589 0.000 0.000 0.000 3.475 0.000 0.000 0.000 5.093" Properties=species:S:1:pos:R:3 comment="Co2CuRe, optimized geometry, DFT PBEsol" dos_at_fermi_per_ev_atom=0.88 formation_energy_ev_per_atom=0.101 de_polymorph_ev_per_atom=0.000 rho_g_cm3=13.3 spacegroup="Pmmm (47)" total_energy_ev_per_fu=-32.74 pbc="T T T"
Co 0.000 0.000 1.266
Co 0.000 0.000 3.827
Cu 1.295 1.737 0.000
Re 1.295 1.737 2.546

=====

Entry 3:
5
Lattice="5.294 0.000 0.000 0.000 5.294 0.000 0.000 0.000 4.295" Properties=species:S:1:pos:R:3 comment="Y2CoCuRe, optimized geometry, DFT PBEsol" dos_at_fermi_per_ev_atom=1.22 formation_energy_ev_per_atom=0.801 rho_g_cm3=6.7 spacegroup="P4/mmm (123)" total_energy_ev_per_fu=-35.04 pbc="T T T"
Y 0.000 2.647 0.000
Y 2.647 0.000 0.000
Co 0.000 0.000 2.148
Cu 2.647 2.647 2.148
Re 0.000 0.000 0.000

=====

Entry 4:
4
Lattice="-1.335 2.086 4.247 1.335 -2.086 4.247 1.335 2.086 -4.247" Properties=species:S:1:pos:R:3 comment="CoCu2Rh, optimized geometry, DFT PBEsol" dos_at_fermi_per_ev_atom=1.16 formation_energy_ev_per_atom=0.170 rho_g_cm3=10.1 spacegroup="Immm (71)" total_energy_ev_per_fu=-23.86 pbc="T T T"
Co 0.000 0.000 0.000
Cu 1.335 0.000 2.045
Cu 0.000 2.086 2.202
Rh 0.000 0.000 4.247

=====

Entry 5:
4
Lattice="2.539 0.000 0.000 0.000 3.892 0.000 -1.277 0.000 4.726" Properties=species:S:1:pos:R:3 comment="Co2CuRh, optimized geometry, DFT PBEsol" dos_at_fermi_per_ev_atom=1.19 formation_energy_ev_per_atom=0.159 rho_g_cm3=10.1 spacegroup="Pm (6)" total_energy_ev_per_fu=-27.31 pbc="T T T"
Co 0.000 0.000 0.000
Co 0.002 1.946 1.200
Cu 1.269 0.000 2.247
Rh -0.007 1.946 3.652

=====

Entry 6:
4
Lattice="1.289 0.744 8.247 -1.289 0.744 8.247 0.000 -1.488 8.247" Properties=species:S:1:pos:R:3 comment="CoCu2Rh, optimized geometry, DFT PBEsol" dos_at_fermi_per_ev_atom=0.92 formation_energy_ev_per_atom=0.085 rho_g_cm3=10.1 spacegroup="R3m (160)" total_energy_ev_per_fu=-24.20 pbc="T T T"
Co 0.000 0.000 0.000
Cu 0.000 0.000 12.287
Cu 0.000 0.000 18.513
Rh 0.000 0.000 6.212

=====

Entry 7:
4
Lattice="2.599 0.000 0.000 0.000 3.539 0.000 0.000 0.000 5.123" Properties=species:S:1:pos:R:3 comment="CoCu2Rh, optimized geometry, DFT PBEsol" dos_at_fermi_per_ev_atom=0.90 formation_energy_ev_per_atom=0.096 rho_g_cm3=10.2 spacegroup="Pmm2 (25)" total_energy_ev_per_fu=-24.16 pbc="T T T"
Co 0.000 0.000 0.000
Cu 0.000 0.000 2.529
Cu 1.300 1.770 1.334
Rh 1.300 1.770 3.936

=====

Entry 8:
4
Lattice="-1.820 1.820 3.551 1.820 -1.820 3.551 1.820 1.820 -3.551" Properties=species:S:1:pos:R:3 comment="CoCu2Rh, optimized geometry, DFT PBEsol" dos_at_fermi_per_ev_atom=0.98 formation_energy_ev_per_atom=0.113 rho_g_cm3=10.2 spacegroup="I-4m2 (119)" total_energy_ev_per_fu=-24.09 pbc="T T T"
Co 0.000 0.000 0.000
Cu 0.000 0.000 3.551
Cu 0.000 1.820 1.775
Rh 1.820 0.000 1.775

=====

Entry 9:
4
Lattice="2.600 0.000 0.000 0.000 2.600 0.000 0.000 0.000 6.940" Properties=species:S:1:pos:R:3 comment="CoCu2Rh, optimized geometry, DFT PBEsol" dos_at_fermi_per_ev_atom=1.23 formation_energy_ev_per_atom=0.094 rho_g_cm3=10.2 spacegroup="P4mm (99)" total_energy_ev_per_fu=-24.17 pbc="T T T"
Co 0.000 0.000 0.000
Cu 0.000 0.000 3.373
Cu 1.300 1.300 1.686
Rh 1.300 1.300 5.246

=====

Entry 10:
4
Lattice="3.576 0.000 0.000 0.000 3.576 0.000 0.000 0.000 3.638" Properties=species:S:1:pos:R:3 comment="Co2CuRh, optimized geometry, DFT PBEsol" dos_at_fermi_per_ev_atom=1.22 formation_energy_ev_per_atom=0.150 rho_g_cm3=10.1 spacegroup="P4/mmm (123)" total_energy_ev_per_fu=-27.35 pbc="T T T"
Co 0.000 1.788 0.000
Co 1.788 0.000 0.000
Cu 0.000 0.000 1.819
Rh 1.788 1.788 1.819

=====

Entry 11:
4
Lattice="1.279 0.738 8.205 -1.279 0.738 8.205 0.000 -1.477 8.205" Properties=species:S:1:pos:R:3 comment="Co2CuRh, optimized geometry, DFT PBEsol" dos_at_fermi_per_ev_atom=0.93 formation_energy_ev_per_atom=0.096 rho_g_cm3=10.2 spacegroup="R3m (160)" total_energy_ev_per_fu=-27.56 pbc="T T T"
Co 0.000 0.000 0.000
Co 0.000 0.000 6.311
Cu 0.000 0.000 12.480
Rh 0.000 0.000 18.508

=====

Entry 12:
5
Lattice="4.411 0.000 0.000 0.000 4.411 0.000 0.000 0.000 4.256" Properties=species:S:1:pos:R:3 comment="CoCuRh2Se, optimized geometry, DFT PBEsol" dos_at_fermi_per_ev_atom=1.31 rho_g_cm3=8.2 spacegroup="P4/mmm (123)" total_energy_ev_per_fu=-26.99 raw_formation_energy_mev_per_atom=1041 pbc="T T T"
Co 0.000 0.000 0.000
Cu 0.000 0.000 2.128
Rh 0.000 2.205 0.000
Rh 2.205 0.000 0.000
Se 2.205 2.205 2.128

=====

Entry 13:
4
Lattice="1.307 0.754 8.339 -1.307 0.754 8.339 0.000 -1.509 8.339" Properties=species:S:1:pos:R:3 comment="CoCuRu2, optimized geometry, DFT PBEsol" dos_at_fermi_per_ev_atom=1.20 formation_energy_ev_per_atom=0.210 de_polymorph_ev_per_atom=0.000 rho_g_cm3=10.9 spacegroup="R3m (160)" total_energy_ev_per_fu=-31.58 pbc="T T T"
Co 0.000 0.000 0.000
Cu 0.000 0.000 18.682
Ru 0.000 0.000 6.305
Ru 0.000 0.000 12.518

=====

Entry 14:
4
Lattice="1.275 0.736 8.200 -1.275 0.736 8.200 0.000 -1.472 8.200" Properties=species:S:1:pos:R:3 comment="Co2CuRu, optimized geometry, DFT PBEsol" dos_at_fermi_per_ev_atom=1.11 formation_energy_ev_per_atom=0.193 de_polymorph_ev_per_atom=0.000 rho_g_cm3=10.2 spacegroup="R3m (160)" total_energy_ev_per_fu=-29.21 pbc="T T T"
Co 0.000 0.000 0.000
Co 0.000 0.000 6.292
Cu 0.000 0.000 18.445
Ru 0.000 0.000 12.443

=====

Entry 15:
4
Lattice="3.631 0.000 0.000 0.000 3.631 0.000 0.000 0.000 3.505" Properties=species:S:1:pos:R:3 comment="Co2CuRu, optimized geometry, DFT PBEsol" dos_at_fermi_per_ev_atom=1.07 formation_energy_ev_per_atom=0.274 de_polymorph_ev_per_atom=0.080 rho_g_cm3=10.2 spacegroup="P4/mmm (123)" total_energy_ev_per_fu=-28.89 pbc="T T T"
Co 0.000 1.815 0.000
Co 1.815 0.000 0.000
Cu 0.000 0.000 1.753
Ru 1.815 1.815 1.753

=====

Entry 16:
4
Lattice="1.274 0.736 8.153 -1.274 0.736 8.153 0.000 -1.472 8.153" Properties=species:S:1:pos:R:3 comment="Co2CuRu, optimized geometry, DFT PBEsol" dos_at_fermi_per_ev_atom=1.13 formation_energy_ev_per_atom=0.196 de_polymorph_ev_per_atom=0.003 rho_g_cm3=10.2 spacegroup="R-3m (166)" total_energy_ev_per_fu=-29.20 pbc="T T T"
Co 0.000 0.000 6.118
Co 0.000 0.000 18.341
Cu 0.000 0.000 0.000
Ru 0.000 0.000 12.230

=====

Entry 17:
4
Lattice="0.000 2.851 2.851 2.851 0.000 2.851 2.851 2.851 0.000" Properties=species:S:1:pos:R:3 comment="Co2CuRu, optimized geometry, DFT PBEsol" dos_at_fermi_per_ev_atom=1.48 formation_energy_ev_per_atom=0.307 de_polymorph_ev_per_atom=0.113 rho_g_cm3=10.1 spacegroup="Fm-3m (225)" total_energy_ev_per_fu=-28.75 pbc="T T T"
Co 1.425 1.425 1.425
Co 4.276 4.276 4.276
Cu 0.000 0.000 0.000
Ru 2.851 2.851 2.851

=====

Entry 18:
4
Lattice="1.332 -2.098 0.000 1.332 2.098 0.000 0.000 0.000 8.426" Properties=species:S:1:pos:R:3 comment="Co2CuRu, optimized geometry, DFT PBEsol" dos_at_fermi_per_ev_atom=1.33 formation_energy_ev_per_atom=0.322 de_polymorph_ev_per_atom=0.129 rho_g_cm3=10.0 spacegroup="Cmm2 (35)" total_energy_ev_per_fu=-28.69 pbc="T T T"
Co 0.000 0.000 0.000
Co 1.332 0.000 1.948
Cu 0.000 0.000 4.026
Ru 1.332 0.000 6.267

=====

Entry 19:
4
Lattice="0.000 2.897 2.897 2.897 0.000 2.897 2.897 2.897 0.000" Properties=species:S:1:pos:R:3 comment="CoCuRu2, optimized geometry, DFT PBEsol" dos_at_fermi_per_ev_atom=1.40 formation_energy_ev_per_atom=0.397 de_polymorph_ev_per_atom=0.188 rho_g_cm3=11.1 spacegroup="Fm-3m (225)" total_energy_ev_per_fu=-30.83 pbc="T T T"
Co 0.000 0.000 0.000
Cu 2.897 2.897 2.897
Ru 1.448 1.448 1.448
Ru 4.345 4.345 4.345

=====

Entry 20:
4
Lattice="2.568 0.000 0.000 0.000 2.568 0.000 0.000 0.000 7.344" Properties=species:S:1:pos:R:3 comment="CoCuRu2, optimized geometry, DFT PBEsol" dos_at_fermi_per_ev_atom=1.13 formation_energy_ev_per_atom=0.263 de_polymorph_ev_per_atom=0.053 rho_g_cm3=11.1 spacegroup="P4/mmm (123)" total_energy_ev_per_fu=-31.36 pbc="T T T"
Co 0.000 0.000 0.000
Cu 0.000 0.000 3.672
Ru 1.284 1.284 1.756
Ru 1.284 1.284 5.588

=====

Entry 21:
4
Lattice="2.630 0.000 0.000 0.000 3.631 0.000 0.000 0.000 5.087" Properties=species:S:1:pos:R:3 comment="CoCuRu2, optimized geometry, DFT PBEsol" dos_at_fermi_per_ev_atom=1.20 formation_energy_ev_per_atom=0.213 de_polymorph_ev_per_atom=0.003 rho_g_cm3=11.1 spacegroup="Pmm2 (25)" total_energy_ev_per_fu=-31.57 pbc="T T T"
Co 0.000 0.000 0.000
Cu 1.315 1.815 1.168
Ru 0.000 0.000 2.505
Ru 1.315 1.815 3.761

=====

Entry 22:
4
Lattice="4.169 -1.262 0.000 4.169 1.262 0.000 -0.725 0.000 4.325" Properties=species:S:1:pos:R:3 comment="Co2CuRu, optimized geometry, DFT PBEsol" dos_at_fermi_per_ev_atom=1.49 formation_energy_ev_per_atom=0.243 de_polymorph_ev_per_atom=0.049 rho_g_cm3=10.3 spacegroup="C2/m (12)" total_energy_ev_per_fu=-29.01 pbc="T T T"
Co 1.894 0.000 1.061
Co 5.718 0.000 3.263
Cu -0.363 0.000 2.162
Ru 4.169 0.000 0.000

=====

Entry 23:
4
Lattice="2.560 -3.694 0.000 2.560 3.694 0.000 0.000 0.000 2.553" Properties=species:S:1:pos:R:3 comment="CoCuRu2, optimized geometry, DFT PBEsol" dos_at_fermi_per_ev_atom=1.50 formation_energy_ev_per_atom=0.327 de_polymorph_ev_per_atom=0.117 rho_g_cm3=11.2 spacegroup="Cmmm (65)" total_energy_ev_per_fu=-31.11 pbc="T T T"
Co 0.000 0.000 0.000
Cu 2.560 0.000 0.000
Ru 1.280 1.847 1.277
Ru 1.280 -1.847 1.277

=====

Entry 24:
14
Lattice="0.000 4.661 4.661 4.661 0.000 4.661 4.661 4.661 0.000" Properties=species:S:1:pos:R:3 comment="Co2CuS4, optimized geometry, DFT PBEsol" dos_at_fermi_per_ev_atom=0.59 rho_g_cm3=5.1 spacegroup="Fd-3m (227)" total_energy_ev_per_fu=-40.92 raw_formation_energy_mev_per_atom=-511 pbc="T T T"
Co 0.000 0.000 0.000
Co 2.331 2.331 0.000
Co 2.331 0.000 2.331
Co 0.000 2.331 2.331
Cu 3.496 3.496 3.496
Cu 5.827 5.827 5.827
S 7.110 4.543 4.543
S 2.213 2.213 2.213
S 4.779 4.779 2.213
S 4.779 2.213 4.779
S 4.543 7.110 4.543
S 4.543 4.543 7.110
S 7.110 7.110 7.110
S 2.213 4.779 4.779

=====

Entry 25:
14
Lattice="3.604 2.081 5.870 -3.604 2.081 5.870 0.000 -4.162 5.870" Properties=species:S:1:pos:R:3 comment="CoCu2Sn3S8, optimized geometry, DFT PBEsol" dos_at_fermi_per_ev_atom=0.20 rho_g_cm3=5.0 spacegroup="R-3m (166)" total_energy_ev_per_fu=-70.03 raw_formation_energy_mev_per_atom=-412 pbc="T T T"
Co 0.000 0.000 0.000
Cu 0.000 0.000 6.725
Cu 0.000 0.000 10.887
Sn -3.604 0.000 8.806
Sn -1.802 1.040 2.935
Sn 1.802 1.040 2.935
S 0.000 -2.245 7.209
S -1.945 1.123 7.209
S -1.945 -1.123 10.403
S 0.000 0.000 4.452
S 0.000 0.000 13.160
S 1.945 1.123 7.209
S 1.945 -1.123 10.403
S 0.000 2.245 10.403

=====

Entry 26:
14
Lattice="-3.333 3.482 4.796 3.333 -3.482 4.796 3.333 3.482 -4.796" Properties=species:S:1:pos:R:3 comment="TiCoCuS4, optimized geometry, DFT PBEsol" dos_at_fermi_per_ev_atom=0.18 rho_g_cm3=4.5 spacegroup="Imma (74)" total_energy_ev_per_fu=-43.56 raw_formation_energy_mev_per_atom=-805 pbc="T T T"
Ti -1.666 1.741 2.398
Ti 1.666 1.741 2.398
Co 0.000 0.000 0.000
Co 0.000 3.482 0.000
Cu 3.333 1.741 -1.224
Cu 0.000 1.741 6.020
S 0.000 0.033 2.272
S 1.480 1.741 0.001
S 1.853 -1.741 4.796
S 3.333 0.033 2.524
S 0.000 3.448 2.272
S 1.480 5.222 -0.001
S 1.853 1.741 4.795
S 3.333 3.448 2.524

=====

Entry 27:
14
Lattice="3.418 1.973 5.731 -3.418 1.973 5.731 0.000 -3.947 5.731" Properties=species:S:1:pos:R:3 comment="Ti3CoCu2S8, optimized geometry, DFT PBEsol" dos_at_fermi_per_ev_atom=0.45 rho_g_cm3=4.2 spacegroup="R-3m (166)" total_energy_ev_per_fu=-90.37 raw_formation_energy_mev_per_atom=-995 pbc="T T T"
Ti -1.709 -0.987 5.731
Ti -1.709 0.987 11.461
Ti 0.000 1.973 5.731
Co 0.000 0.000 8.596
Cu 0.000 0.000 2.162
Cu 0.000 0.000 15.030
S 0.000 0.000 4.363
S 0.000 -1.839 7.213
S -1.593 0.920 7.213
S -1.593 -0.920 9.979
S 1.593 0.920 7.213
S 1.593 -0.920 9.979
S 0.000 1.839 9.979
S 0.000 0.000 12.829

=====

Entry 28:
3
Lattice="-1.642 1.661 3.870 1.642 -1.661 3.870 1.642 1.661 -3.870" Properties=species:S:1:pos:R:3 comment="CoCuSb, optimized geometry, DFT PBEsol" dos_at_fermi_per_ev_atom=0.80 rho_g_cm3=9.6 spacegroup="Imm2 (44)" total_energy_ev_per_fu=-16.26 raw_formation_energy_mev_per_atom=122 pbc="T T T"
Co 0.000 0.000 0.000
Cu 0.000 0.000 5.125
Sb 0.000 0.000 2.613